# Pa6P5Cl (GGA-PBE, relaxed)
# Total magnetization   0.00 Bohr magnetons per cell
# Energy relative to the elements, uncorrected   -1251.5 meV/atom
# Density   9943 kg/m3
data_Pa6P5Cl
_chemical_formula_sum 'Pa12 P10 Cl2'
_cell_length_a 6.998
_cell_length_b 11.844
_cell_length_c 6.733
_cell_angle_alpha 90.00
_cell_angle_beta 109.33
_cell_angle_gamma 90.00
_space_group_name_H-M_alt 'C 1 2/m 1'
_space_group_IT_number 12
_space_group_name_Hall '-C 2y'
loop_
_atom_site_label
_atom_site_type_symbol
_atom_site_fract_x
_atom_site_fract_y
_atom_site_fract_z
_atom_site_occupancy
Pa1 Pa 0.245 0.000 0.253 1
Pa2 Pa 0.246 0.169 0.747 1
P1 P 0.000 0.000 0.500 1
P2 P 0.000 0.167 0.000 1
P3 P 0.000 0.334 0.500 1
Cl1 Cl 0.000 0.500 0.000 1